No. 1
VASP calculation (PBE) on crystalline CsBaMg3 at its relaxed geometry.

Unit cell a=6.835 b=6.835 c=6.835 alpha=90.00 beta=90.00 gamma=90.00
Fractional coordinates of all 5 atoms:
Cs  0.000  0.000  0.000
Ba  0.500  0.500  0.500
Mg  0.000  0.500  0.500
Mg  0.500  0.000  0.500
Mg  0.500  0.500  0.000

Summary:
Energy relative to the elements, eV/atom: 0.65
Calculated total energy, eV/atom: -0.866
SG: Pm-3m (221)
Density of states at the Fermi level, states/eV per cell: 6.8
Spin magnetization, μB/f.u.: 0.00


No. 2
VASP calculation (PBE) on crystalline CsBaMg at its relaxed geometry.

Unit cell a=9.265 b=9.265 c=9.265 alpha=151.64 beta=151.64 gamma=40.54
Fractional coordinates of all 3 atoms:
Cs  0.000  0.000  0.000
Ba  0.265  0.265  0.000
Mg  0.657  0.657  0.000

Summary:
Energy relative to the elements, eV/atom: 0.14
Calculated total energy, eV/atom: -1.316
SG: I4mm (107)
Density of states at the Fermi level, states/eV per cell: 4.6
Spin magnetization, μB/f.u.: 0.00